(1)
The following is a DFT calculation (PBE-GGA) of a relaxed structure of Li3Sc.

DOS at the Fermi energy ... 3.88 states/eV per cell
Formation energy ... 107 meV per atom
VASP energy ... -11.6 eV/cell
Excess energy over the best structure of this formula in the dataset ... 1 meV/atom
Symmetry ... R-3m (166)

Cell lengths 10.307, 10.307, 10.307 Å; angles 17.44, 17.44, 17.44 degrees
Fractional positions:
Li (0.500, 0.500, 0.500)
Sc (0.000, 0.000, 0.000)
Li (0.753, 0.753, 0.753)
Li (0.247, 0.247, 0.247)

---

(2)
The following is a DFT calculation (PBE-GGA) of a relaxed structure of KGaTe3Pd.

DOS at the Fermi energy ... 5.68 states/eV per cell
VASP energy ... -42.8 eV/cell
E_form (uncorrected) ... -0.439 eV per atom
Symmetry ... P2_1/m (11)

Cell lengths 4.155, 9.065, 11.122 Å; angles 103.92, 90.00, 90.00 degrees
Fractional positions:
Te (0.750, 0.856, 0.141)
K (0.750, 0.799, 0.788)
Pd (0.250, 0.656, 0.112)
Ga (0.750, 0.902, 0.384)
Te (0.250, 0.144, 0.859)
Te (0.250, 0.793, 0.492)
K (0.250, 0.201, 0.212)
Pd (0.750, 0.344, 0.888)
Ga (0.250, 0.098, 0.616)
Te (0.750, 0.479, 0.145)
Te (0.750, 0.207, 0.508)
Te (0.250, 0.521, 0.855)

---

> What is the VASP energy in the second record?

-42.8 eV/cell

---

> Among the records above, which one has the lowest VASP energy?

KGaTe3Pd

---

> Which value of DOS at the Fermi energy does entry 1 give?

3.88 states/eV per cell

---

> Among the records above, which one has the lowest DOS at the Fermi energy?

Li3Sc